LiPm2SmSe4 PBE optimized geometry; N(E_F) = 2.838 states/eV per cell; space group = P2/m, No. 10
1.0
-3.825 -0.501 -1.522
2.718 -3.404 -5.711
-1.430 -4.782 5.169
Li Pm Se Sm
1 2 4 1
Direct
0.500 0.500 0.000
0.500 0.000 0.500
0.000 0.500 0.500
0.500 0.745 0.758
0.000 0.259 0.760
0.500 0.255 0.242
0.000 0.741 0.240
0.000 0.000 0.000


LiPm2Sn3Se6 PBE optimized geometry; N(E_F) = 3.048 states/eV per cell; space group = C2/m, No. 12
1.0
4.337 0.000 0.000
0.000 8.443 0.157
-2.168 -2.594 8.923
Pm Se Sn Li
2 6 3 1
Direct
0.164 0.327 0.328
0.836 0.673 0.672
0.669 0.573 0.339
0.003 0.242 0.005
0.337 0.917 0.673
0.331 0.427 0.661
0.663 0.083 0.327
0.997 0.758 0.995
0.159 0.856 0.318
0.841 0.144 0.682
0.500 0.500 0.000
0.500 0.000 0.000


LiPmSn2Se4 PBE optimized geometry; space group = P2/m, No. 10
1.0
4.224 0.000 0.000
0.000 7.414 -0.236
0.000 2.526 6.723
Pm Sn Li Se
1 2 1 4
Direct
0.000 0.500 0.500
0.500 0.000 0.500
0.000 0.000 0.000
0.500 0.500 0.000
0.000 0.738 0.755
0.000 0.262 0.245
0.500 0.263 0.750
0.500 0.737 0.250


| no. | raw formation energy (eV/atom) |
| --- | --- |
| 1 | -1.77 |
| 2 | -1.01 |
| 3 | -1.00 |